{"formula": "CdIn4PbSe8", "functional": "PBE-GGA", "state": "relaxed", "cell": [[4.1545, 2.3986, 6.7753], [-4.1545, 2.3986, 6.7753], [0.0000, -4.7973, 6.7753]], "species": ["Cd", "In", "In", "In", "In", "Pb", "Se", "Se", "Se", "Se", "Se", "Se", "Se", "Se"], "frac_coords": [[0.0000, 0.0000, 0.0000], [0.1135, 0.6246, 0.6246], [0.2414, 0.2414, 0.2414], [0.6246, 0.1135, 0.6246], [0.6246, 0.6246, 0.1135], [0.6241, 0.6241, 0.6241], [0.3692, 0.3692, 0.8484], [0.3692, 0.8484, 0.3692], [0.3789, 0.3789, 0.3789], [0.3951, 0.8749, 0.8749], [0.8484, 0.3692, 0.3692], [0.8645, 0.8645, 0.8645], [0.8749, 0.3951, 0.8749], [0.8749, 0.8749, 0.3951]], "raw_formation_energy_ev_per_atom": -0.480}

***

{"formula": "SmCdInPb", "functional": "PBE-GGA", "state": "relaxed", "cell": [[4.6113, 0.0000, 0.0000], [0.0000, 4.7242, 0.0000], [0.0000, 0.0000, 4.8605]], "species": ["Sm", "Cd", "In", "Pb"], "frac_coords": [[0.0000, 0.0000, 0.0000], [0.0000, 0.5000, 0.5000], [0.5000, 0.0000, 0.5000], [0.5000, 0.5000, 0.0000]], "ef_ev_per_atom": -0.39, "polymorph_energy_mev_per_atom": 0}

***

{"formula": "SmCdInPb", "functional": "PBE-GGA", "state": "relaxed", "cell": [[0.0000, 3.8084, 3.8084], [3.8084, 0.0000, 3.8084], [3.8084, 3.8084, 0.0000]], "species": ["Sm", "Cd", "In", "Pb"], "frac_coords": [[0.0000, 0.0000, 0.0000], [0.5000, 0.5000, 0.5000], [0.7500, 0.7500, 0.7500], [0.2500, 0.2500, 0.2500]], "ef_ev_per_atom": -0.17, "polymorph_energy_mev_per_atom": 222}

***

{"formula": "CdIn6SnPb2", "functional": "PBE-GGA", "state": "relaxed", "cell": [[7.7368, 0.0000, 0.0000], [0.0000, 9.1888, 0.0000], [-6.4485, 0.0000, 8.1967]], "species": ["Cd", "Cd", "In", "In", "In", "In", "In", "In", "In", "In", "In", "In", "In", "In", "Sn", "Sn", "Pb", "Pb", "Pb", "Pb"], "frac_coords": [[0.0000, 0.0000, 0.0000], [0.0000, 0.5000, 0.5000], [0.0112, 0.1569, 0.2716], [0.0112, 0.3431, 0.7716], [0.3032, 0.7408, 0.0918], [0.3032, 0.7592, 0.5918], [0.4073, 0.1344, 0.0413], [0.4073, 0.3656, 0.5413], [0.5927, 0.6344, 0.4587], [0.5927, 0.8656, 0.9587], [0.6968, 0.2408, 0.4082], [0.6968, 0.2592, 0.9082], [0.9888, 0.6569, 0.2284], [0.9888, 0.8431, 0.7284], [0.5000, 0.0000, 0.5000], [0.5000, 0.5000, 0.0000], [0.2315, 0.0970, 0.6601], [0.2315, 0.4030, 0.1601], [0.7685, 0.5970, 0.8399], [0.7685, 0.9030, 0.3399]], "ef_ev_per_atom": 0.09}

***

{"formula": "CdIn4Sn2Pb", "functional": "PBE-GGA", "state": "relaxed", "cell": [[-4.3413, 4.4007, 6.1485], [4.3413, -4.4007, 6.1485], [4.3413, 4.4007, -6.1485]], "species": ["Cd", "Cd", "In", "In", "In", "In", "In", "In", "In", "In", "Sn", "Sn", "Sn", "Sn", "Pb", "Pb"], "frac_coords": [[0.0000, 0.0000, 0.0000], [0.5000, 0.0000, 0.5000], [0.2562, 0.2592, 0.5030], [0.2562, 0.7532, 0.9970], [0.2637, 0.7489, 0.5148], [0.2660, 0.2511, 0.0148], [0.7340, 0.7489, 0.9852], [0.7363, 0.2511, 0.4852], [0.7438, 0.2468, 0.0030], [0.7438, 0.7408, 0.4970], [0.0000, 0.5000, 0.5000], [0.5000, 0.0000, 0.0000], [0.5000, 0.5000, 0.0000], [0.5000, 0.5000, 0.5000], [0.0000, 0.0000, 0.5000], [0.0000, 0.5000, 0.0000]], "ef_ev_per_atom": 0.11}

***

{"formula": "CdInSn2Pb", "functional": "PBE-GGA", "state": "relaxed", "cell": [[3.1983, -6.9090, 0.0000], [3.1983, 6.9090, 0.0000], [0.0000, 0.0000, 6.6449]], "species": ["Cd", "Cd", "In", "In", "Sn", "Sn", "Sn", "Sn", "Pb", "Pb"], "frac_coords": [[0.1436, 0.8564, 0.7500], [0.8564, 0.1436, 0.2500], [0.3456, 0.6544, 0.7500], [0.6544, 0.3456, 0.2500], [0.2522, 0.2522, 0.0000], [0.2522, 0.2522, 0.5000], [0.7478, 0.7478, 0.0000], [0.7478, 0.7478, 0.5000], [0.2313, 0.7687, 0.2500], [0.7687, 0.2313, 0.7500]], "ef_ev_per_atom": 0.12}

***

{"formula": "CdIn3Sn2Pb3", "functional": "PBE-GGA", "state": "relaxed", "cell": [[9.2550, 0.0000, 0.0000], [-4.6275, 8.0150, 0.0000], [0.0000, 0.0000, 3.4596]], "species": ["Cd", "In", "In", "In", "Sn", "Sn", "Pb", "Pb", "Pb"], "frac_coords": [[0.0000, 0.0000, 0.0000], [0.0000, 0.7092, 0.5000], [0.2908, 0.2908, 0.5000], [0.7092, 0.0000, 0.5000], [0.3333, 0.6667, 0.5000], [0.6667, 0.3333, 0.5000], [0.0000, 0.3650, 0.0000], [0.3650, 0.0000, 0.0000], [0.6350, 0.6350, 0.0000]], "ef_ev_per_atom": 0.04}

***

{"formula": "Cd2In3SnPb3", "functional": "PBE-GGA", "state": "relaxed", "cell": [[9.2579, 0.0000, 0.0000], [-4.6289, 8.0175, 0.0000], [0.0000, 0.0000, 3.4524]], "species": ["Cd", "Cd", "In", "In", "In", "Sn", "Pb", "Pb", "Pb"], "frac_coords": [[0.3333, 0.6667, 0.0000], [0.6667, 0.3333, 0.0000], [0.0000, 0.6394, 0.5000], [0.3606, 0.3606, 0.5000], [0.6394, 0.0000, 0.5000], [0.0000, 0.0000, 0.5000], [0.0000, 0.3126, 0.0000], [0.3126, 0.0000, 0.0000], [0.6874, 0.6874, 0.0000]], "ef_ev_per_atom": 0.05}

***

| no. | final energy (hartree per atom) |
| --- | --- |
| 1 | -0.13170 |
| 2 | -0.12547 |
| 3 | -0.11733 |
| 4 | -0.10245 |
| 5 | -0.10424 |
| 6 | -0.10850 |
| 7 | -0.11408 |
| 8 | -0.10105 |